Record 1
{
  "formula": "CaHfSn2",
  "functional": "PBE",
  "state": "optimized geometry",
  "delta_e_f_ev_per_atom": 0.169,
  "space_group": "I-42d",
  "lattice_angstrom": [[5.087, 0.000, 0.000], [0.000, 5.087, 0.000], [2.543, 2.543, 9.853]],
  "species": ["Sn", "Sn", "Sn", "Sn", "Ca", "Ca", "Hf", "Hf"],
  "fractional_positions": [[0.709, 0.125, 0.250], [0.041, 0.625, 0.250], [0.875, 0.959, 0.750], [0.375, 0.291, 0.750], [0.250, 0.750, 0.500], [0.500, 0.500, 0.000], [0.750, 0.250, 0.500], [0.000, 0.000, 0.000]]
}

***

Record 2
{
  "formula": "RbBaRu3",
  "functional": "PBE",
  "state": "optimized geometry",
  "delta_e_f_ev_per_atom": 2.385,
  "space_group": "Pm-3m",
  "relative_energy_mev_per_atom": 61,
  "lattice_angstrom": [[5.102, 0.000, 0.000], [0.000, 5.102, 0.000], [0.000, 0.000, 5.102]],
  "species": ["Ru", "Ru", "Ru", "Ba", "Rb"],
  "fractional_positions": [[0.500, 0.000, 0.000], [0.000, 0.500, 0.000], [0.000, 0.000, 0.500], [0.500, 0.500, 0.500], [0.000, 0.000, 0.000]]
}

***

Record 3
{
  "formula": "Ni15SnGe4",
  "functional": "PBE",
  "state": "optimized geometry",
  "delta_e_f_ev_per_atom": -0.263,
  "space_group": "P4/mmm",
  "lattice_angstrom": [[-1.404, 2.337, -2.371], [-0.767, -2.731, -2.238], [-16.136, -1.824, 7.758]],
  "species": ["Ge", "Ge", "Ge", "Ge", "Ni", "Ni", "Ni", "Ni", "Ni", "Ni", "Ni", "Ni", "Ni", "Ni", "Ni", "Ni", "Ni", "Ni", "Ni", "Sn"],
  "fractional_positions": [[0.000, 0.000, 0.795], [0.000, 0.000, 0.402], [0.000, 0.000, 0.598], [0.000, 0.000, 0.205], [0.500, 0.500, 0.206], [0.500, 0.500, 0.794], [0.000, 0.500, 0.500], [0.500, 0.500, 0.402], [0.000, 0.500, 0.304], [0.500, 0.500, 0.000], [0.000, 0.500, 0.892], [0.000, 0.500, 0.696], [0.500, 0.000, 0.304], [0.500, 0.000, 0.500], [0.500, 0.000, 0.108], [0.000, 0.500, 0.108], [0.500, 0.000, 0.892], [0.500, 0.000, 0.696], [0.500, 0.500, 0.598], [0.000, 0.000, 0.000]]
}

***

Record 4
{
  "formula": "ZrMn3Ru",
  "functional": "PBE",
  "state": "optimized geometry",
  "delta_e_f_ev_per_atom": 2.173,
  "space_group": "Pm-3m",
  "relative_energy_mev_per_atom": 1248,
  "lattice_angstrom": [[4.383, 0.000, 0.000], [0.000, 4.383, 0.000], [0.000, 0.000, 4.383]],
  "species": ["Mn", "Mn", "Mn", "Ru", "Zr"],
  "fractional_positions": [[0.000, 0.000, 0.500], [0.000, 0.500, 0.000], [0.500, 0.000, 0.000], [0.500, 0.500, 0.500], [0.000, 0.000, 0.000]]
}